# NaYMnO3

NaYMnO3 after structural relaxation (PBE+U, Alexandria).

Computed properties:
space-group type: Cmcm, No. 63
calculated total energy: -43.15 eV per formula unit
crystal system: orthorhombic

a = 3.5603 Å, b = 7.3754 Å, c = 8.9794 Å
α = 90.00°, β = 90.00°, γ = 103.97°
Fractional coordinates of all 12 atoms:
Na1 0.6312 0.2623 0.7500
Na2 0.3688 0.7377 0.2500
Y1 0.0000 0.0000 0.5000
Y2 0.0000 0.0000 0.0000
Mn1 0.4049 0.8098 0.7500
Mn2 0.5951 0.1902 0.2500
O1 0.6012 0.2024 0.4698
O2 0.3988 0.7976 0.5302
O3 0.3988 0.7976 0.9698
O4 0.6012 0.2024 0.0302
O5 0.0117 0.0235 0.7500
O6 0.9883 0.9765 0.2500